## LiErScIn (PBE-GGA)

Data for a geometry-optimized LiErScIn structure.

Properties
Calculated density in g/cm³: 5.92
Final energy in eV/atom: -4.13
Magnetic moment in μB per formula unit: 0.0

abc: 7.2114 7.2114 7.2114
angles: 90.00 90.00 90.00
Space group F-43m (No. 216)
Unique sites:
Li: 0.0000 0.0000 0.0000 (multiplicity 4)
Er: 0.2500 0.2500 0.7500 (multiplicity 4)
Sc: 0.2500 0.2500 0.2500 (multiplicity 4)
In: 0.0000 0.0000 0.5000 (multiplicity 4)

## Li2Er2ScIn2 (PBE-GGA)

Data for a geometry-optimized Li2Er2ScIn2 structure.

Properties
Calculated density in g/cm³: 6.14
Final energy in eV/atom: -3.73
Magnetic moment in μB per formula unit: 0.0

abc: 4.7577 4.7577 25.7687
angles: 90.00 90.00 120.00
Space group R-3m (No. 166, hexagonal axes)
Unique sites:
Li: 0.0000 0.0000 0.1140 (multiplicity 6)
Er: 0.0000 0.0000 0.3741 (multiplicity 6)
Sc: 0.0000 0.0000 0.5000 (multiplicity 3)
In: 0.0000 0.0000 0.2347 (multiplicity 6)

## LiErIn4Se8 (PBE-GGA)

Data for a geometry-optimized LiErIn4Se8 structure.

Properties
Formation energy without anion corrections in meV per atom: -828
Calculated density in g/cm³: 5.50
Final energy in eV/atom: -4.06
Magnetic moment in μB per formula unit: 0.0

abc: 8.1396 8.1396 19.9801
angles: 90.00 90.00 120.00
Space group R3m (No. 160, hexagonal axes)
Unique sites:
Li: 0.0000 0.0000 0.0000 (multiplicity 3)
Er: 0.0000 0.0000 0.3654 (multiplicity 3)
In: 0.0000 0.0000 0.7517 (multiplicity 3)
In: 0.0186 0.5093 0.8781 (multiplicity 9)
Se: 0.0000 0.0000 0.1317 (multiplicity 3)
Se: 0.0000 0.0000 0.6152 (multiplicity 3)
Se: 0.0244 0.5122 0.1283 (multiplicity 9)
Se: 0.1692 0.3384 0.9548 (multiplicity 9)

## Li2SmEr2In2 (PBE-GGA)

Data for a geometry-optimized Li2SmEr2In2 structure.

Properties
Calculated density in g/cm³: 6.70
Final energy in eV/atom: -3.53
Magnetic moment in μB per formula unit: 0.0

abc: 4.8760 4.8760 26.3054
angles: 90.00 90.00 120.00
Space group R-3m (No. 166, hexagonal axes)
Unique sites:
Li: 0.0000 0.0000 0.0983 (multiplicity 6)
Sm: 0.0000 0.0000 0.5000 (multiplicity 3)
Er: 0.0000 0.0000 0.3713 (multiplicity 6)
In: 0.0000 0.0000 0.2403 (multiplicity 6)

## Li2Sm2ErIn5 (PBE-GGA)

Data for a geometry-optimized Li2Sm2ErIn5 structure.

Properties
Calculated density in g/cm³: 7.36
Final energy in eV/atom: -3.56
Magnetic moment in μB per formula unit: 0.0

abc: 10.2906 10.2906 4.4991
angles: 90.00 90.00 90.00
Space group P4/mbm (No. 127)
Unique sites:
Li: 0.1168 0.3832 0.0000 (multiplicity 4)
Sm: 0.1775 0.6775 0.0000 (multiplicity 4)
Er: 0.0000 0.0000 0.0000 (multiplicity 2)
In: 0.0000 0.5000 0.5000 (multiplicity 2)
In: 0.0694 0.2106 0.5000 (multiplicity 8)

## LiSmEr2In4 (PBE-GGA)

Data for a geometry-optimized LiSmEr2In4 structure.

Properties
Calculated density in g/cm³: 7.72
Final energy in eV/atom: -3.75
Magnetic moment in μB per formula unit: 0.0

abc: 5.2059 5.2059 26.1375
angles: 90.00 90.00 120.00
Space group R-3m (No. 166, hexagonal axes)
Unique sites:
Li: 0.0000 0.0000 0.0000 (multiplicity 3)
Sm: 0.0000 0.0000 0.5000 (multiplicity 3)
Er: 0.0000 0.0000 0.2534 (multiplicity 6)
In: 0.0000 0.0000 0.1214 (multiplicity 6)
In: 0.0000 0.0000 0.3724 (multiplicity 6)

## LiSm2ErIn4 (PBE-GGA)

Data for a geometry-optimized LiSm2ErIn4 structure.

Properties
Calculated density in g/cm³: 7.43
Final energy in eV/atom: -3.78
Magnetic moment in μB per formula unit: 0.0

abc: 5.2439 5.2439 26.2920
angles: 90.00 90.00 120.00
Space group R-3m (No. 166, hexagonal axes)
Unique sites:
Li: 0.0000 0.0000 0.0000 (multiplicity 3)
Sm: 0.0000 0.0000 0.2548 (multiplicity 6)
Er: 0.0000 0.0000 0.5000 (multiplicity 3)
In: 0.0000 0.0000 0.1245 (multiplicity 6)
In: 0.0000 0.0000 0.3747 (multiplicity 6)

## LiSmErIn (PBE-GGA)

Data for a geometry-optimized LiSmErIn structure.

Properties
Calculated density in g/cm³: 6.91
Final energy in eV/atom: -3.74
Magnetic moment in μB per formula unit: 0.0

abc: 7.5031 7.5031 7.5031
angles: 90.00 90.00 90.00
Space group F-43m (No. 216)
Unique sites:
Li: 0.0000 0.0000 0.0000 (multiplicity 4)
Sm: 0.2500 0.2500 0.2500 (multiplicity 4)
Er: 0.2500 0.2500 0.7500 (multiplicity 4)
In: 0.0000 0.0000 0.5000 (multiplicity 4)

## Li2Tb2ErIn5 (PBE-GGA)

Data for a geometry-optimized Li2Tb2ErIn5 structure.

Properties
Calculated density in g/cm³: 7.62
Final energy in eV/atom: -3.51
Magnetic moment in μB per formula unit: 0.0

abc: 10.2877 10.2877 4.4215
angles: 90.00 90.00 90.00
Space group P4/mbm (No. 127)
Unique sites:
Li: 0.1191 0.3809 0.0000 (multiplicity 4)
Tb: 0.1753 0.6753 0.0000 (multiplicity 4)
Er: 0.0000 0.0000 0.0000 (multiplicity 2)
In: 0.0000 0.5000 0.5000 (multiplicity 2)
In: 0.0729 0.2111 0.5000 (multiplicity 8)

## LiTb2ErIn4 (PBE-GGA)

Data for a geometry-optimized LiTb2ErIn4 structure.

Properties
Calculated density in g/cm³: 7.78
Final energy in eV/atom: -3.76
Magnetic moment in μB per formula unit: 0.0

abc: 5.2000 5.2000 26.0140
angles: 90.00 90.00 120.00
Space group R-3m (No. 166, hexagonal axes)
Unique sites:
Li: 0.0000 0.0000 0.0000 (multiplicity 3)
Tb: 0.0000 0.0000 0.2540 (multiplicity 6)
Er: 0.0000 0.0000 0.5000 (multiplicity 3)
In: 0.0000 0.0000 0.1235 (multiplicity 6)
In: 0.0000 0.0000 0.3740 (multiplicity 6)

## Li2Tb2ErIn2 (PBE-GGA)

Data for a geometry-optimized Li2Tb2ErIn2 structure.

Properties
Calculated density in g/cm³: 6.77
Final energy in eV/atom: -3.52
Magnetic moment in μB per formula unit: 0.0

abc: 4.8360 4.8360 26.4888
angles: 90.00 90.00 120.00
Space group R-3m (No. 166, hexagonal axes)
Unique sites:
Li: 0.0000 0.0000 0.1069 (multiplicity 6)
Tb: 0.0000 0.0000 0.3730 (multiplicity 6)
Er: 0.0000 0.0000 0.5000 (multiplicity 3)
In: 0.0000 0.0000 0.2367 (multiplicity 6)

## Li3Er3InTe8 (PBE-GGA)

Data for a geometry-optimized Li3Er3InTe8 structure.

Properties
Formation energy without anion corrections in meV per atom: -1014
Calculated density in g/cm³: 6.17
Final energy in eV/atom: -4.17
Magnetic moment in μB per formula unit: 0.0

abc: 8.5675 8.5675 21.0485
angles: 90.00 90.00 120.00
Space group R-3m (No. 166, hexagonal axes)
Unique sites:
Li: 0.0000 0.5000 0.0000 (multiplicity 9)
Er: 0.0000 0.5000 0.5000 (multiplicity 9)
In: 0.0000 0.0000 0.5000 (multiplicity 3)
Te: 0.0000 0.0000 0.2518 (multiplicity 6)
Te: 0.0020 0.5010 0.2515 (multiplicity 18)

## LiErThIn (PBE-GGA)

Data for a geometry-optimized LiErThIn structure.

Properties
Calculated density in g/cm³: 8.15
Final energy in eV/atom: -4.28
Magnetic moment in μB per formula unit: 0.0

abc: 7.5149 7.5149 7.5149
angles: 90.00 90.00 90.00
Space group F-43m (No. 216)
Unique sites:
Li: 0.0000 0.0000 0.0000 (multiplicity 4)
Er: 0.2500 0.2500 0.7500 (multiplicity 4)
Th: 0.2500 0.2500 0.2500 (multiplicity 4)
In: 0.0000 0.0000 0.5000 (multiplicity 4)

## Li2Er2ThIn2 (PBE-GGA)

Data for a geometry-optimized Li2Er2ThIn2 structure.

Properties
Calculated density in g/cm³: 7.47
Final energy in eV/atom: -3.86
Magnetic moment in μB per formula unit: 0.0

abc: 4.8704 4.8704 26.3112
angles: 90.00 90.00 120.00
Space group R-3m (No. 166, hexagonal axes)
Unique sites:
Li: 0.0000 0.0000 0.0919 (multiplicity 6)
Er: 0.0000 0.0000 0.3704 (multiplicity 6)
Th: 0.0000 0.0000 0.5000 (multiplicity 3)
In: 0.0000 0.0000 0.2392 (multiplicity 6)

## LiEr2TmIn4 (PBE-GGA)

Data for a geometry-optimized LiEr2TmIn4 structure.

Properties
Calculated density in g/cm³: 8.11
Final energy in eV/atom: -3.71
Magnetic moment in μB per formula unit: 0.0

abc: 5.1653 5.1653 25.7627
angles: 90.00 90.00 120.00
Space group R-3m (No. 166, hexagonal axes)
Unique sites:
Li: 0.0000 0.0000 0.0000 (multiplicity 3)
Er: 0.0000 0.0000 0.2530 (multiplicity 6)
Tm: 0.0000 0.0000 0.5000 (multiplicity 3)
In: 0.0000 0.0000 0.1230 (multiplicity 6)
In: 0.0000 0.0000 0.3734 (multiplicity 6)

## Li2ErTm2In2 (PBE-GGA)

Data for a geometry-optimized Li2ErTm2In2 structure.

Properties
Calculated density in g/cm³: 7.11
Final energy in eV/atom: -3.47
Magnetic moment in μB per formula unit: 0.0

abc: 4.8180 4.8180 26.0948
angles: 90.00 90.00 120.00
Space group R-3m (No. 166, hexagonal axes)
Unique sites:
Li: 0.0000 0.0000 0.1030 (multiplicity 6)
Er: 0.0000 0.0000 0.5000 (multiplicity 3)
Tm: 0.0000 0.0000 0.3721 (multiplicity 6)
In: 0.0000 0.0000 0.2385 (multiplicity 6)

## Li2ErTm2In5 (PBE-GGA)

Data for a geometry-optimized Li2ErTm2In5 structure.

Properties
Calculated density in g/cm³: 7.89
Final energy in eV/atom: -3.44
Magnetic moment in μB per formula unit: 0.0

abc: 10.2461 10.2461 4.3843
angles: 90.00 90.00 90.00
Space group P4/mbm (No. 127)
Unique sites:
Li: 0.1202 0.3798 0.0000 (multiplicity 4)
Er: 0.0000 0.0000 0.0000 (multiplicity 2)
Tm: 0.1744 0.6744 0.0000 (multiplicity 4)
In: 0.0000 0.5000 0.5000 (multiplicity 2)
In: 0.0751 0.2107 0.5000 (multiplicity 8)

## LiErTmIn (PBE-GGA)

Data for a geometry-optimized LiErTmIn structure.

Properties
Calculated density in g/cm³: 7.60
Final energy in eV/atom: -3.67
Magnetic moment in μB per formula unit: 0.0

abc: 7.3706 7.3706 7.3706
angles: 90.00 90.00 90.00
Space group F-43m (No. 216)
Unique sites:
Li: 0.0000 0.0000 0.0000 (multiplicity 4)
Er: 0.2500 0.2500 0.7500 (multiplicity 4)
Tm: 0.2500 0.2500 0.2500 (multiplicity 4)
In: 0.0000 0.0000 0.5000 (multiplicity 4)

## LiYEr2In4 (PBE-GGA)

Data for a geometry-optimized LiYEr2In4 structure.

Properties
Calculated density in g/cm³: 7.36
Final energy in eV/atom: -3.97
Magnetic moment in μB per formula unit: 0.0

abc: 5.1814 5.1814 25.9109
angles: 90.00 90.00 120.00
Space group R-3m (No. 166, hexagonal axes)
Unique sites:
Li: 0.0000 0.0000 0.0000 (multiplicity 3)
Y: 0.0000 0.0000 0.5000 (multiplicity 3)
Er: 0.0000 0.0000 0.2533 (multiplicity 6)
In: 0.0000 0.0000 0.1223 (multiplicity 6)
In: 0.0000 0.0000 0.3730 (multiplicity 6)

## LiYErIn (PBE-GGA)

Data for a geometry-optimized LiYErIn structure.

Properties
Calculated density in g/cm³: 6.12
Final energy in eV/atom: -4.20
Magnetic moment in μB per formula unit: 0.0

abc: 7.4286 7.4286 7.4286
angles: 90.00 90.00 90.00
Space group F-43m (No. 216)
Unique sites:
Li: 0.0000 0.0000 0.0000 (multiplicity 4)
Y: 0.2500 0.2500 0.2500 (multiplicity 4)
Er: 0.2500 0.2500 0.7500 (multiplicity 4)
In: 0.0000 0.0000 0.5000 (multiplicity 4)